Material: AlCrOs2
Method: DFT, PBE-GGA
State: optimized geometry

Results
As for the space group: No. 166. For the total energy, the calculation gives -9.01 eV per atom. As for the formation energy: -0.2 eV per formula unit.

CIF file:
```
data_AlCrOs2
_symmetry_space_group_name_H-M 'P 1'
_symmetry_Int_Tables_number 1
_symmetry_space_group_name_Hall 'P 1'
_cell_length_a 8.552
_cell_length_b 8.552
_cell_length_c 8.552
_cell_angle_alpha 18.50
_cell_angle_beta 18.50
_cell_angle_gamma 18.50
loop_
_atom_site_label
_atom_site_type_symbol
_atom_site_fract_x
_atom_site_fract_y
_atom_site_fract_z
_atom_site_occupancy
Al1 Al 0.000 0.000 0.000 1
Cr1 Cr 0.500 0.500 0.500 1
Os1 Os 0.247 0.247 0.247 1
Os2 Os 0.753 0.753 0.753 1
```

---

Material: AlCrOs2
Method: DFT, PBE-GGA
State: optimized geometry

Results
As for the space group: No. 122. For the total energy, the calculation gives -8.37 eV per atom. As for the formation energy: 2.3 eV per formula unit.

CIF file:
```
data_AlCrOs2
_symmetry_space_group_name_H-M 'P 1'
_symmetry_Int_Tables_number 1
_symmetry_space_group_name_Hall 'P 1'
_cell_length_a 5.584
_cell_length_b 5.584
_cell_length_c 5.584
_cell_angle_alpha 101.75
_cell_angle_beta 101.75
_cell_angle_gamma 126.34
loop_
_atom_site_label
_atom_site_type_symbol
_atom_site_fract_x
_atom_site_fract_y
_atom_site_fract_z
_atom_site_occupancy
Al1 Al 0.000 0.000 0.000 1
Al2 Al 0.750 0.250 0.500 1
Cr1 Cr 0.250 0.750 0.500 1
Cr2 Cr 0.500 0.500 0.000 1
Os1 Os 0.180 0.125 0.555 1
Os2 Os 0.375 0.820 0.945 1
Os3 Os 0.570 0.625 0.445 1
Os4 Os 0.875 0.430 0.055 1
```

---

Material: AlCr3Os
Method: DFT, PBE-GGA
State: optimized geometry

Results
As for the space group: No. 221. For the total energy, the calculation gives -7.08 eV per atom. As for the formation energy: 8.5 eV per formula unit.

CIF file:
```
data_AlCr3Os
_symmetry_space_group_name_H-M 'P 1'
_symmetry_Int_Tables_number 1
_symmetry_space_group_name_Hall 'P 1'
_cell_length_a 4.224
_cell_length_b 4.224
_cell_length_c 4.224
_cell_angle_alpha 90.00
_cell_angle_beta 90.00
_cell_angle_gamma 90.00
loop_
_atom_site_label
_atom_site_type_symbol
_atom_site_fract_x
_atom_site_fract_y
_atom_site_fract_z
_atom_site_occupancy
Al1 Al 0.000 0.000 0.000 1
Cr1 Cr 0.000 0.000 0.500 1
Cr2 Cr 0.000 0.500 0.000 1
Cr3 Cr 0.500 0.000 0.000 1
Os1 Os 0.500 0.500 0.500 1
```